# Ce2Dy3Se4 | Alexandria via LeMat-Bulk | PBE | optimized geometry
data_Ce2Dy3Se4
_cell_length_a 3.993
_cell_length_b 5.839
_cell_length_c 20.406
_cell_angle_alpha 90.00
_cell_angle_beta 90.00
_cell_angle_gamma 90.00
_symmetry_space_group_name_H-M 'I m m m'
_symmetry_Int_Tables_number 71
_symmetry_space_group_name_Hall '-I 2 2'
loop_
_atom_site_label
_atom_site_type_symbol
_atom_site_fract_x
_atom_site_fract_y
_atom_site_fract_z
Ce1 Ce 0.000 0.000 0.090
Dy1 Dy 0.000 0.000 0.300
Dy2 Dy 0.000 0.000 0.500
Se1 Se 0.000 0.500 0.101
Se2 Se 0.000 0.500 0.301
# energy relative to the elements, uncorrected = -1.494 eV per atom
# DFT total energy = -5.896 eV per atom

# Ce2DySe | Alexandria via LeMat-Bulk | PBE | optimized geometry
data_Ce2DySe
_cell_length_a 3.8144
_cell_length_b 3.8144
_cell_length_c 28.8803
_cell_angle_alpha 90.00
_cell_angle_beta 90.00
_cell_angle_gamma 120.00
_symmetry_space_group_name_H-M 'R -3 m'
_symmetry_Int_Tables_number 166
_symmetry_space_group_name_Hall '-R 3 2"'
loop_
_atom_site_label
_atom_site_type_symbol
_atom_site_fract_x
_atom_site_fract_y
_atom_site_fract_z
Ce1 Ce 0.0000 0.0000 0.2341
Dy1 Dy 0.0000 0.0000 0.0000
Se1 Se 0.0000 0.0000 0.5000
# energy relative to the elements, uncorrected = -0.635 eV per atom
# DFT total energy = -5.623 eV per atom

# Ce2Dy3Se8 | Alexandria via LeMat-Bulk | PBE | optimized geometry
data_Ce2Dy3Se8
_cell_length_a 10.006
_cell_length_b 14.154
_cell_length_c 4.922
_cell_angle_alpha 90.00
_cell_angle_beta 90.00
_cell_angle_gamma 90.00
_symmetry_space_group_name_H-M 'C m m m'
_symmetry_Int_Tables_number 65
_symmetry_space_group_name_Hall '-C 2 2'
loop_
_atom_site_label
_atom_site_type_symbol
_atom_site_fract_x
_atom_site_fract_y
_atom_site_fract_z
Ce1 Ce 0.000 0.236 0.000
Dy1 Dy 0.000 0.500 0.000
Dy2 Dy 0.222 0.000 0.500
Se1 Se 0.000 0.126 0.500
Se2 Se 0.000 0.382 0.500
Se3 Se 0.240 0.378 0.000
# energy relative to the elements, uncorrected = -1.658 eV per atom
# DFT total energy = -5.777 eV per atom
# polymorph energy (0 for the lowest one) = 10.0 kJ per mole of atoms